Material: Ru3WO
Method: DFT, PBE+U
State: optimized geometry

VASP energy, eV per atom: -5.600
Distance to the lowest polymorph of the same formula, meV per atom: 1912.7

Cell: 4.764 4.764 4.764 Å, 90.00 90.00 90.00°
Site moments in Bohr magnetons follow the coordinates.
Atoms (fractional coordinates):
Ru 0.500 0.000 0.000  1.25
Ru 0.000 0.000 0.500  1.54
Ru 0.000 0.500 0.000  1.56
W 0.000 0.000 0.000  -0.73
O 0.500 0.500 0.500  1.07